[1]
5
Lattice="4.7615 0.0000 0.0000 0.0000 4.7615 0.0000 0.0000 0.0000 4.8043" Properties=species:S:1:pos:R:3 comment="PBE SrHfTaOs2, relaxed" ef_ev_per_atom=2.7954 space_group=P4/mmm total_magnetization_mub_per_atom=0.0000 pbc="T T T"
Sr 0.0000 0.0000 0.0000
Hf 2.3808 2.3808 2.4022
Ta 0.0000 0.0000 2.4022
Os 0.0000 2.3808 0.0000
Os 2.3808 0.0000 0.0000

---

[2]
8
Lattice="4.2104 0.0000 0.0000 0.0000 4.2104 0.0000 0.0000 0.0000 5.9312" Properties=species:S:1:pos:R:3 comment="PBE Ti4FeCo3, relaxed" ef_ev_per_atom=-0.3928 space_group=P4/mmm total_magnetization_mub_per_atom=0.2982 pbc="T T T"
Ti 0.0000 2.1052 1.4744
Ti 0.0000 2.1052 4.4569
Ti 2.1052 0.0000 1.4744
Ti 2.1052 0.0000 4.4569
Fe 0.0000 0.0000 0.0000
Co 0.0000 0.0000 2.9656
Co 2.1052 2.1052 0.0000
Co 2.1052 2.1052 2.9656

---

[3]
4
Lattice="3.0272 0.0000 0.0000 0.0000 3.0272 0.0000 0.0000 0.0000 8.0985" Properties=species:S:1:pos:R:3 comment="PBE AsIr2Se, relaxed" polymorph_energy_ev_per_atom=0.128 formation_energy_uncorrected_ev_per_atom=0.1640 space_group=P4mm total_magnetization_mub_per_atom=0.0000 pbc="T T T"
As 0.0000 0.0000 0.0000
Ir 0.0000 0.0000 3.5024
Ir 1.5136 1.5136 1.3927
Se 1.5136 1.5136 4.8298

---

[4]
8
Lattice="4.1180 0.0000 0.0000 0.0000 4.1180 0.0000 0.0000 0.0000 9.4669" Properties=species:S:1:pos:R:3 comment="PBE SrZn2W, relaxed" polymorph_energy_ev_per_atom=0.478 ef_ev_per_atom=0.8524 space_group=I-4m2 total_magnetization_mub_per_atom=0.0918 pbc="T T T"
Sr 0.0000 0.0000 0.0000
Sr 2.0590 2.0590 4.7335
Zn 0.0000 0.0000 4.7335
Zn 0.0000 2.0590 2.3667
Zn 2.0590 0.0000 7.1002
Zn 2.0590 2.0590 0.0000
W 0.0000 2.0590 7.1002
W 2.0590 0.0000 2.3667

---

[5]
20
Lattice="5.9533 0.0000 0.0000 0.0000 8.6063 0.0000 -5.6615 0.0000 10.6754" Properties=species:S:1:pos:R:3 comment="PBE Tm6Sn3Os, relaxed" ef_ev_per_atom=-0.4323 space_group=P2_1/c total_magnetization_mub_per_atom=0.0000 pbc="T T T"
Tm -2.1811 1.3549 4.6925
Tm -5.0118 2.9483 10.0302
Tm -0.4301 6.0218 4.6501
Tm -3.2608 6.8877 9.9878
Tm 0.8637 0.4373 2.8440
Tm -1.9670 3.8659 8.1817
Tm 2.2588 4.7404 2.4937
Tm -0.5719 8.1691 7.8314
Tm 3.5527 1.7186 0.6876
Tm 0.7219 2.5845 6.0253
Tm 5.3037 5.6581 0.6452
Tm 2.4729 7.2514 5.9829
Sn 0.0000 0.0000 0.0000
Sn -2.8307 4.3032 5.3377
Sn -3.3924 0.9614 8.1566
Sn -0.5616 3.3418 2.8189
Sn 0.8535 5.2645 7.8565
Sn 3.6842 7.6449 2.5188
Os 0.1459 0.0000 5.3377
Os 2.9766 4.3032 0.0000

---

[6]
10
Lattice="3.9655 2.2895 7.0070 -3.9655 2.2895 7.0070 0.0000 -4.5790 7.0070" Properties=species:S:1:pos:R:3 comment="PBE La2HoErTe6, relaxed" formation_energy_uncorrected_ev_per_atom=-1.4313 space_group=R3 total_magnetization_mub_per_atom=0.0000 pbc="T T T"
La 0.0000 0.0000 0.0000
La 0.0000 0.0000 10.5029
Ho 0.0000 0.0000 16.9122
Er 0.0000 0.0000 6.3988
Te -1.3831 -1.9848 8.3086
Te -2.9320 -0.0954 11.8234
Te -1.0274 2.1903 8.3086
Te 1.5486 -2.4915 11.8234
Te 2.4105 -0.2054 8.3086
Te 1.3834 2.5869 11.8234